CaMnF6 (GGA+U, relaxed); electronic total energy = -5.45 eV/atom; total magnetic moment = 0.357 μB per atom; density of states at the Fermi level = 0.00 states/eV per atom
1.0
5.180 0.000 0.000
-2.590 4.486 0.000
0.000 0.000 4.885
Ca Mn F
1 1 6
Direct
0.000 0.000 0.000
0.667 0.333 0.500
0.376 0.045 0.720
0.376 0.331 0.280
0.669 0.045 0.280
0.669 0.624 0.720
0.955 0.331 0.720
0.955 0.624 0.280